Record 1
A plane-wave DFT calculation with PBE-GGA was carried out for Ac3Pm3Co4 after structural relaxation.

Unit cell a=4.433 b=7.637 c=7.637 alpha=89.92 beta=90.00 gamma=90.00
Element x y z (fractional)
Ac 0.000 0.512 0.006
Ac 0.000 0.994 0.488
Ac 0.500 0.166 0.834
Pm 0.500 0.834 0.166
Pm 0.500 0.338 0.336
Pm 0.500 0.664 0.662
Co 0.000 0.608 0.392
Co 0.000 0.401 0.599
Co 0.000 0.887 0.904
Co 0.000 0.096 0.113

For the total energy, the calculation gives -54.351 eV per cell. The formation enthalpy at 0 K is 65 meV per atom. The value obtained for the magnetization is 0.017 μB/f.u.

***

Record 2
A plane-wave DFT calculation with PBE-GGA was carried out for AcPm2Co after structural relaxation.

Unit cell a=6.583 b=7.227 c=10.057 alpha=90.00 beta=90.00 gamma=90.00
Element x y z (fractional)
Ac 0.644 0.548 0.250
Ac 0.856 0.048 0.250
Ac 0.356 0.452 0.750
Ac 0.144 0.952 0.750
Pm 0.174 0.667 0.073
Pm 0.326 0.167 0.427
Pm 0.826 0.333 0.573
Pm 0.674 0.833 0.927
Pm 0.826 0.333 0.927
Pm 0.674 0.833 0.573
Pm 0.174 0.667 0.427
Pm 0.326 0.167 0.073
Co 0.082 0.383 0.250
Co 0.418 0.883 0.250
Co 0.918 0.617 0.750
Co 0.582 0.117 0.750

For the total energy, the calculation gives -83.753 eV per cell. The formation enthalpy at 0 K is -56 meV per atom. The value obtained for the magnetization is 0.000 μB/f.u.

***

Record 3
A plane-wave DFT calculation with PBE-GGA was carried out for AcPmCo after structural relaxation.

Unit cell a=4.963 b=4.963 c=4.963 alpha=60.00 beta=60.00 gamma=60.00
Element x y z (fractional)
Ac 0.000 0.000 0.000
Co 0.250 0.250 0.250
Pm 0.500 0.500 0.500

For the total energy, the calculation gives -15.674 eV per cell. The formation enthalpy at 0 K is 97 meV per atom. The value obtained for the magnetization is 0.000 μB/f.u.

***

Record 4
A plane-wave DFT calculation with PBE-GGA was carried out for Ac12PmCo7 after structural relaxation.

Unit cell a=9.256 b=9.256 c=9.256 alpha=107.39 beta=107.39 gamma=107.39
Element x y z (fractional)
Ac 0.925 0.314 0.780
Ac 0.686 0.220 0.075
Ac 0.448 0.156 0.373
Ac 0.844 0.627 0.552
Ac 0.220 0.075 0.686
Ac 0.627 0.552 0.844
Ac 0.373 0.448 0.156
Ac 0.780 0.925 0.314
Ac 0.156 0.373 0.448
Ac 0.552 0.844 0.627
Ac 0.314 0.780 0.925
Ac 0.075 0.686 0.220
Pm 0.000 0.000 0.000
Co 0.977 0.649 0.880
Co 0.351 0.120 0.023
Co 0.120 0.023 0.351
Co 0.500 0.500 0.500
Co 0.880 0.977 0.649
Co 0.649 0.880 0.977
Co 0.023 0.351 0.120

For the total energy, the calculation gives -104.099 eV per cell. The formation enthalpy at 0 K is -15 meV per atom. The value obtained for the magnetization is 0.000 μB/f.u.

***

Record 5
A plane-wave DFT calculation with PBE-GGA was carried out for AcPm2Co after structural relaxation.

Unit cell a=3.830 b=6.523 c=10.035 alpha=90.00 beta=90.00 gamma=107.09
Element x y z (fractional)
Ac 0.412 0.825 0.250
Ac 0.588 0.175 0.750
Pm 0.144 0.287 0.425
Pm 0.856 0.713 0.575
Pm 0.856 0.713 0.925
Pm 0.144 0.287 0.075
Co 0.734 0.469 0.250
Co 0.266 0.531 0.750

For the total energy, the calculation gives -41.736 eV per cell. The formation enthalpy at 0 K is -38 meV per atom. The value obtained for the magnetization is 0.000 μB/f.u.

***

Record 6
A plane-wave DFT calculation with PBE-GGA was carried out for AcPmCo4 after structural relaxation.

Unit cell a=4.330 b=3.942 c=6.839 alpha=90.00 beta=90.00 gamma=90.00
Element x y z (fractional)
Ac 0.999 0.997 0.498
Pm 0.999 0.497 0.998
Co 0.499 0.997 0.162
Co 0.499 0.997 0.835
Co 0.499 0.497 0.669
Co 0.499 0.497 0.327

For the total energy, the calculation gives -37.667 eV per cell. The formation enthalpy at 0 K is -64 meV per atom. The value obtained for the magnetization is 2.994 μB/f.u.

***

Record 7
A plane-wave DFT calculation with PBE-GGA was carried out for Ac12PmCo6 after structural relaxation.

Unit cell a=9.269 b=9.266 c=9.266 alpha=70.54 beta=70.52 gamma=109.48
Element x y z (fractional)
Ac 0.495 0.810 0.315
Ac 0.685 0.876 0.810
Ac 0.809 0.315 0.876
Ac 0.505 0.190 0.685
Ac 0.315 0.124 0.190
Ac 0.191 0.685 0.124
Ac 0.315 0.505 0.810
Ac 0.875 0.190 0.315
Ac 0.190 0.315 0.495
Ac 0.685 0.495 0.190
Ac 0.125 0.810 0.685
Ac 0.810 0.685 0.505
Pm 0.000 0.000 0.000
Co 0.394 0.501 0.107
Co 0.107 0.608 0.499
Co 0.499 0.893 0.608
Co 0.606 0.499 0.893
Co 0.893 0.392 0.501
Co 0.501 0.107 0.392

For the total energy, the calculation gives -96.844 eV per cell. The formation enthalpy at 0 K is -8 meV per atom. The value obtained for the magnetization is 0.001 μB/f.u.

***

Record 8
A plane-wave DFT calculation with PBE-GGA was carried out for AcPmCo after structural relaxation.

Unit cell a=3.936 b=6.821 c=7.188 alpha=76.77 beta=74.11 gamma=73.23
Element x y z (fractional)
Ac 0.431 0.270 0.868
Ac 0.569 0.730 0.132
Pm 0.809 0.785 0.597
Pm 0.191 0.215 0.403
Co 0.885 0.033 0.198
Co 0.115 0.967 0.802

For the total energy, the calculation gives -32.190 eV per cell. The formation enthalpy at 0 K is -43 meV per atom. The value obtained for the magnetization is 0.000 μB/f.u.

***

Record 9
A plane-wave DFT calculation with PBE-GGA was carried out for AcPmCo after structural relaxation.

Unit cell a=3.591 b=3.591 c=7.193 alpha=104.45 beta=104.45 gamma=90.00
Element x y z (fractional)
Ac 0.038 0.038 0.075
Co 0.674 0.674 0.349
Pm 0.288 0.288 0.576

For the total energy, the calculation gives -15.691 eV per cell. The formation enthalpy at 0 K is 91 meV per atom. The value obtained for the magnetization is 0.590 μB/f.u.

***

Record 10
A plane-wave DFT calculation with PBE-GGA was carried out for AcPm2Co after structural relaxation.

Unit cell a=3.983 b=3.983 c=9.695 alpha=78.15 beta=78.15 gamma=60.00
Element x y z (fractional)
Ac 0.501 0.501 0.497
Pm 0.052 0.052 0.844
Pm 0.281 0.281 0.158
Co 0.666 0.666 0.001

For the total energy, the calculation gives -20.697 eV per cell. The formation enthalpy at 0 K is 5 meV per atom. The value obtained for the magnetization is 0.000 μB/f.u.

***

Record 11
A plane-wave DFT calculation with PBE-GGA was carried out for Ac2Pm3Co2 after structural relaxation.

Unit cell a=3.865 b=6.607 c=9.395 alpha=114.72 beta=90.00 gamma=107.01
Element x y z (fractional)
Ac 0.829 0.658 0.205
Ac 0.171 0.342 0.795
Pm 0.500 0.000 0.000
Pm 0.620 0.240 0.416
Pm 0.380 0.760 0.584
Co 0.825 0.650 0.752
Co 0.175 0.350 0.248

For the total energy, the calculation gives -37.010 eV per cell. The formation enthalpy at 0 K is -47 meV per atom. The value obtained for the magnetization is 0.000 μB/f.u.

***

Record 12
A plane-wave DFT calculation with PBE-GGA was carried out for Ac3PmCo2 after structural relaxation.

Unit cell a=4.206 b=9.043 c=10.889 alpha=82.21 beta=78.87 gamma=76.55
Element x y z (fractional)
Ac 0.062 0.070 0.806
Ac 0.938 0.930 0.194
Ac 0.690 0.677 0.943
Ac 0.310 0.323 0.057
Ac 0.819 0.809 0.553
Ac 0.181 0.191 0.447
Pm 0.441 0.418 0.700
Pm 0.559 0.582 0.300
Co 0.877 0.375 0.872
Co 0.123 0.625 0.128
Co 0.625 0.125 0.626
Co 0.375 0.875 0.374

For the total energy, the calculation gives -62.932 eV per cell. The formation enthalpy at 0 K is -30 meV per atom. The value obtained for the magnetization is 0.000 μB/f.u.